VSbCl2 | GGA-PBE | relaxed

Values from the calculation:
ρ: 4.12 g/cm³
DOS at the Fermi energy: 1.9 states/eV/f.u.
Space group: No. 122
Uncorrected formation energy: -0.290 eV/atom
Relative energy among the computed polymorphs: 267.6 meV/atom

Lattice parameters (Å, degrees): 8.554 8.554 5.369 90.00 90.00 90.00
Element x y z (fractional)
1 V 0.000 0.000 0.000
2 V 0.000 0.500 0.250
3 V 0.500 0.000 0.750
4 V 0.500 0.500 0.500
5 Sb 0.000 0.000 0.500
6 Sb 0.000 0.500 0.750
7 Sb 0.500 0.000 0.250
8 Sb 0.500 0.500 0.000
9 Cl 0.118 0.750 0.125
10 Cl 0.250 0.118 0.875
11 Cl 0.250 0.382 0.375
12 Cl 0.382 0.750 0.625
13 Cl 0.618 0.250 0.625
14 Cl 0.750 0.618 0.375
15 Cl 0.750 0.882 0.875
16 Cl 0.882 0.250 0.125

---

VSb2Cl | GGA-PBE | relaxed

Values from the calculation:
ρ: 4.22 g/cm³
DOS at the Fermi energy: 3.1 states/eV/f.u.
Space group: No. 122
Uncorrected formation energy: 0.366 eV/atom
Relative energy among the computed polymorphs: 2.6 meV/atom

Lattice parameters (Å, degrees): 5.892 5.892 14.947 90.00 90.00 90.00
Element x y z (fractional)
1 V 0.000 0.000 0.000
2 V 0.000 0.500 0.250
3 V 0.500 0.000 0.750
4 V 0.500 0.500 0.500
5 Sb 0.163 0.250 0.125
6 Sb 0.250 0.663 0.375
7 Sb 0.250 0.837 0.875
8 Sb 0.337 0.250 0.625
9 Sb 0.663 0.750 0.625
10 Sb 0.750 0.163 0.875
11 Sb 0.750 0.337 0.375
12 Sb 0.837 0.750 0.125
13 Cl 0.000 0.000 0.500
14 Cl 0.000 0.500 0.750
15 Cl 0.500 0.000 0.250
16 Cl 0.500 0.500 0.000

---

V2SbCl8 | GGA-PBE | relaxed

Values from the calculation:
ρ: 2.13 g/cm³
Space group: No. 12
Uncorrected formation energy: -0.926 eV/atom

Lattice parameters (Å, degrees): 7.575 7.575 7.582 94.21 94.21 66.02
Element x y z (fractional)
1 V 0.204 0.204 0.185
2 V 0.796 0.796 0.815
3 Sb 0.000 0.000 0.500
4 Cl 0.090 0.681 0.685
5 Cl 0.171 0.171 0.895
6 Cl 0.319 0.910 0.315
7 Cl 0.373 0.373 0.270
8 Cl 0.627 0.627 0.730
9 Cl 0.681 0.090 0.685
10 Cl 0.829 0.829 0.105
11 Cl 0.910 0.319 0.315

---

V3SbCl | GGA-PBE | relaxed

Values from the calculation:
ρ: 6.45 g/cm³
DOS at the Fermi energy: 2.7 states/eV/f.u.
Space group: No. 221
Uncorrected formation energy: 0.374 eV/atom
Relative energy among the computed polymorphs: 0.0 meV/atom

Lattice parameters (Å, degrees): 4.307 4.307 4.307 90.00 90.00 90.00
Element x y z (fractional)
1 V 0.000 0.000 0.500
2 V 0.000 0.500 0.000
3 V 0.500 0.000 0.000
4 Sb 0.500 0.500 0.500
5 Cl 0.000 0.000 0.000

---

VSb3Cl | GGA-PBE | relaxed

Values from the calculation:
ρ: 5.23 g/cm³
DOS at the Fermi energy: 4.7 states/eV/f.u.
Space group: No. 221
Uncorrected formation energy: 1.014 eV/atom
Relative energy among the computed polymorphs: 1017.8 meV/atom

Lattice parameters (Å, degrees): 5.233 5.233 5.233 90.00 90.00 90.00
Element x y z (fractional)
1 V 0.000 0.000 0.000
2 Sb 0.000 0.500 0.500
3 Sb 0.500 0.000 0.500
4 Sb 0.500 0.500 0.000
5 Cl 0.500 0.500 0.500

---

VSbCl2 | GGA-PBE | relaxed

Values from the calculation:
ρ: 3.64 g/cm³
DOS at the Fermi energy: 3.3 states/eV/f.u.
Space group: No. 166
Uncorrected formation energy: -0.041 eV/atom
Relative energy among the computed polymorphs: 516.9 meV/atom

Lattice parameters (Å, degrees): 3.293 3.293 35.468 90.00 90.00 120.00
Element x y z (fractional)
1 V 0.000 0.000 0.000
2 V 0.333 0.667 0.667
3 V 0.667 0.333 0.333
4 Sb 0.000 0.000 0.500
5 Sb 0.333 0.667 0.167
6 Sb 0.667 0.333 0.833
7 Cl 0.000 0.000 0.061
8 Cl 0.000 0.000 0.939
9 Cl 0.333 0.667 0.606
10 Cl 0.333 0.667 0.728
11 Cl 0.667 0.333 0.272
12 Cl 0.667 0.333 0.394

---

VSb3Cl | GGA-PBE | relaxed

Values from the calculation:
ρ: 5.73 g/cm³
DOS at the Fermi energy: 2.4 states/eV/f.u.
Space group: No. 221
Uncorrected formation energy: -0.004 eV/atom
Relative energy among the computed polymorphs: 0.0 meV/atom

Lattice parameters (Å, degrees): 5.077 5.077 5.077 90.00 90.00 90.00
Element x y z (fractional)
1 V 0.000 0.000 0.000
2 Sb 0.000 0.000 0.500
3 Sb 0.000 0.500 0.000
4 Sb 0.500 0.000 0.000
5 Cl 0.500 0.500 0.500

---

V2SbCl | GGA-PBE | relaxed

Values from the calculation:
ρ: 4.52 g/cm³
DOS at the Fermi energy: 3.5 states/eV/f.u.
Space group: No. 122
Uncorrected formation energy: 0.262 eV/atom
Relative energy among the computed polymorphs: 4.5 meV/atom

Lattice parameters (Å, degrees): 5.153 5.153 14.335 90.00 90.00 90.00
Element x y z (fractional)
1 V 0.191 0.250 0.125
2 V 0.250 0.691 0.375
3 V 0.250 0.809 0.875
4 V 0.309 0.250 0.625
5 V 0.691 0.750 0.625
6 V 0.750 0.191 0.875
7 V 0.750 0.309 0.375
8 V 0.809 0.750 0.125
9 Sb 0.000 0.000 0.500
10 Sb 0.000 0.500 0.750
11 Sb 0.500 0.000 0.250
12 Sb 0.500 0.500 0.000
13 Cl 0.000 0.000 0.000
14 Cl 0.000 0.500 0.250
15 Cl 0.500 0.000 0.750
16 Cl 0.500 0.500 0.500

---

V2SbCl | GGA-PBE | relaxed

Values from the calculation:
ρ: 6.31 g/cm³
DOS at the Fermi energy: 5.2 states/eV/f.u.
Space group: No. 225
Uncorrected formation energy: 0.258 eV/atom
Relative energy among the computed polymorphs: 0.0 meV/atom

Lattice parameters (Å, degrees): 6.483 6.483 6.483 90.00 90.00 90.00
Element x y z (fractional)
1 V 0.250 0.250 0.250
2 V 0.250 0.250 0.750
3 V 0.250 0.750 0.250
4 V 0.250 0.750 0.750
5 V 0.750 0.250 0.250
6 V 0.750 0.250 0.750
7 V 0.750 0.750 0.250
8 V 0.750 0.750 0.750
9 Sb 0.000 0.000 0.000
10 Sb 0.000 0.500 0.500
11 Sb 0.500 0.000 0.500
12 Sb 0.500 0.500 0.000
13 Cl 0.000 0.000 0.500
14 Cl 0.000 0.500 0.000
15 Cl 0.500 0.000 0.000
16 Cl 0.500 0.500 0.500

---

VSbCl2 | GGA-PBE | relaxed

Values from the calculation:
ρ: 3.36 g/cm³
DOS at the Fermi energy: 4.0 states/eV/f.u.
Space group: No. 166
Uncorrected formation energy: -0.558 eV/atom
Relative energy among the computed polymorphs: 0.0 meV/atom

Lattice parameters (Å, degrees): 3.453 3.453 34.985 90.00 90.00 120.00
Element x y z (fractional)
1 V 0.000 0.000 0.000
2 V 0.333 0.667 0.667
3 V 0.667 0.333 0.333
4 Sb 0.000 0.000 0.500
5 Sb 0.333 0.667 0.167
6 Sb 0.667 0.333 0.833
7 Cl 0.000 0.000 0.374
8 Cl 0.000 0.000 0.626
9 Cl 0.333 0.667 0.041
10 Cl 0.333 0.667 0.292
11 Cl 0.667 0.333 0.708
12 Cl 0.667 0.333 0.959

---

VZnSbCl2 | GGA-PBE | relaxed

Values from the calculation:
ρ: 3.35 g/cm³
DOS at the Fermi energy: 15.7 states/eV/f.u.
Space group: No. 123
Uncorrected formation energy: 0.862 eV/atom

Lattice parameters (Å, degrees): 5.294 5.294 5.469 90.00 90.00 90.00
Element x y z (fractional)
1 V 0.000 0.000 0.000
2 Zn 0.500 0.500 0.000
3 Sb 0.500 0.500 0.500
4 Cl 0.000 0.500 0.500
5 Cl 0.500 0.000 0.500

---

SbW3Cl | GGA-PBE | relaxed

Values from the calculation:
ρ: 9.48 g/cm³
DOS at the Fermi energy: 10.7 states/eV/f.u.
Space group: No. 221
Uncorrected formation energy: 2.910 eV/atom
Relative energy among the computed polymorphs: 1249.9 meV/atom

Lattice parameters (Å, degrees): 4.989 4.989 4.989 90.00 90.00 90.00
Element x y z (fractional)
1 Sb 0.000 0.000 0.000
2 W 0.000 0.000 0.500
3 W 0.000 0.500 0.000
4 W 0.500 0.000 0.000
5 Cl 0.500 0.500 0.500

---

SbWCl | GGA-PBE | relaxed

Values from the calculation:
ρ: 7.91 g/cm³
DOS at the Fermi energy: 0.3 states/eV/f.u.
Space group: No. 156
Uncorrected formation energy: 0.140 eV/atom
Relative energy among the computed polymorphs: 0.0 meV/atom

Lattice parameters (Å, degrees): 3.248 3.248 7.840 90.00 90.00 120.00
Element x y z (fractional)
1 Sb 0.000 0.000 0.000
2 W 0.667 0.333 0.266
3 Cl 0.333 0.667 0.478

---

Sb2WCl2 | GGA-PBE | relaxed

Values from the calculation:
ρ: 6.96 g/cm³
DOS at the Fermi energy: 3.7 states/eV/f.u.
Space group: No. 127
Uncorrected formation energy: 0.787 eV/atom
Relative energy among the computed polymorphs: 288.6 meV/atom

Lattice parameters (Å, degrees): 8.854 8.854 3.033 90.00 90.00 90.00
Element x y z (fractional)
1 Sb 0.214 0.286 0.000
2 Sb 0.286 0.786 0.000
3 Sb 0.714 0.214 0.000
4 Sb 0.786 0.714 0.000
5 W 0.000 0.000 0.000
6 W 0.500 0.500 0.000
7 Cl 0.113 0.613 0.500
8 Cl 0.387 0.113 0.500
9 Cl 0.613 0.887 0.500
10 Cl 0.887 0.387 0.500

---

no.,calculated total energy (eV/atom)
1,-4.524
2,-4.437
3,-4.302
4,-6.291
5,-3.653
6,-4.275
7,-4.671
8,-5.789
9,-5.794
10,-4.792
11,-2.779
12,-6.055
13,-6.167
14,-4.191